No. 1
Material: ZnRe2Os
Method: DFT, PBE
State: optimized geometry

Properties
ρ ... 17.8 g/cm3
Formation energy ... 324 meV/atom

```
data_ZnRe2Os
_cell_length_a 5.239
_cell_length_b 8.113
_cell_length_c 2.755
_cell_angle_alpha 90.00
_cell_angle_beta 90.00
_cell_angle_gamma 90.00
_space_group_name_H-M_alt 'C m m m'
_space_group_IT_number 65
_space_group_name_Hall '-C 2 2'
loop_
_atom_site_label
_atom_site_fract_x
_atom_site_fract_y
_atom_site_fract_z
_atom_site_occupancy
Zn1 0.000 0.000 0.000 1
Re1 0.250 0.250 0.500 1
Os1 0.000 0.500 0.000 1
```

---

No. 2
Material: Zn2ReOs
Method: DFT, PBE
State: optimized geometry

Properties
Distance to the lowest polymorph of the same formula ... 3.594 eV per formula unit
ρ ... 13.5 g/cm3
Formation energy ... 936 meV/atom

```
data_Zn2ReOs
_cell_length_a 6.966
_cell_length_b 6.966
_cell_length_c 5.139
_cell_angle_alpha 90.00
_cell_angle_beta 90.00
_cell_angle_gamma 90.00
_space_group_name_H-M_alt 'I -4 2 d'
_space_group_IT_number 122
_space_group_name_Hall 'I -4 2bw'
loop_
_atom_site_label
_atom_site_fract_x
_atom_site_fract_y
_atom_site_fract_z
_atom_site_occupancy
Zn1 0.246 0.250 0.125 1
Re1 0.000 0.000 0.500 1
Os1 0.000 0.000 0.000 1
```

---

No. 3
Material: ZnRe2Os
Method: DFT, PBE
State: optimized geometry

Properties
ρ ... 15.0 g/cm3
Formation energy ... 926 meV/atom

```
data_ZnRe2Os
_cell_length_a 7.464
_cell_length_b 7.464
_cell_length_c 5.009
_cell_angle_alpha 90.00
_cell_angle_beta 90.00
_cell_angle_gamma 90.00
_space_group_name_H-M_alt 'I -4 2 d'
_space_group_IT_number 122
_space_group_name_Hall 'I -4 2bw'
loop_
_atom_site_label
_atom_site_fract_x
_atom_site_fract_y
_atom_site_fract_z
_atom_site_occupancy
Zn1 0.000 0.000 0.000 1
Re1 0.196 0.250 0.625 1
Os1 0.000 0.000 0.500 1
```

---

No. 4
Material: Zn2ReOs
Method: DFT, PBE
State: optimized geometry

Properties
Distance to the lowest polymorph of the same formula ... 0.187 eV per formula unit
ρ ... 14.1 g/cm3
Formation energy ... 84 meV/atom

```
data_Zn2ReOs
_cell_length_a 2.7547
_cell_length_b 2.7547
_cell_length_c 27.2359
_cell_angle_alpha 90.00
_cell_angle_beta 90.00
_cell_angle_gamma 120.00
_space_group_name_H-M_alt 'R 3 m'
_space_group_IT_number 160
_space_group_name_Hall 'R 3 -2"'
loop_
_atom_site_label
_atom_site_fract_x
_atom_site_fract_y
_atom_site_fract_z
_atom_site_occupancy
Zn1 0.0000 0.0000 0.0000 1
Zn2 0.0000 0.0000 0.2450 1
Re1 0.0000 0.0000 0.7510 1
Os1 0.0000 0.0000 0.4945 1
```